Record 1
UHgPb | PBE-GGA | relaxed

DFT total energy: -0.333 Ry per atom
magnetic moment: 2.541 μB per formula unit

Cell: 7.231 7.231 7.231 Å, 90.00 90.00 90.00°
Space group F-43m (No. 216)
Inequivalent atoms, fractional coordinates:
U (0.000, 0.000, 0.000) [4 per cell]
Hg (0.250, 0.250, 0.750) [4 per cell]
Pb (0.250, 0.250, 0.250) [4 per cell]

---

Record 2
UHgPb | PBE-GGA | relaxed

DFT total energy: -0.335 Ry per atom
magnetic moment: 3.193 μB per formula unit

Cell: 7.167 7.167 7.167 Å, 90.00 90.00 90.00°
Space group F-43m (No. 216)
Inequivalent atoms, fractional coordinates:
U (0.000, 0.000, 0.000) [4 per cell]
Hg (0.250, 0.250, 0.750) [4 per cell]
Pb (0.000, 0.000, 0.500) [4 per cell]

---

Record 3
Hg2PbW | PBE-GGA | relaxed

DFT total energy: -0.236 Ry per atom
magnetic moment: 2.944 μB per formula unit

Cell: 7.194 7.194 7.194 Å, 90.00 90.00 90.00°
Space group F-43m (No. 216)
Inequivalent atoms, fractional coordinates:
Hg (0.000, 0.000, 0.000) [4 per cell]
Hg (0.250, 0.250, 0.250) [4 per cell]
Pb (0.000, 0.000, 0.500) [4 per cell]
W (0.250, 0.250, 0.750) [4 per cell]